[1]
The following is a PBE calculation of LiCd3Hg12 after structural relaxation, from Alexandria via LeMat-Bulk.

The structure in POSCAR format:
```
LiCd3Hg12
1.0
5.551 0.000 0.000
0.000 5.551 0.000
0.000 0.000 13.118
Li Cd Hg
1 3 12
direct
0.000 0.000 0.000
0.000 0.000 0.244
0.000 0.000 0.500
0.000 0.000 0.756
0.000 0.500 0.123
0.000 0.500 0.374
0.000 0.500 0.626
0.000 0.500 0.877
0.500 0.000 0.123
0.500 0.000 0.374
0.500 0.000 0.626
0.500 0.000 0.877
0.500 0.500 0.000
0.500 0.500 0.249
0.500 0.500 0.500
0.500 0.500 0.751
```

magnetization = 0.000 μB/atom
energy = -0.53 eV per atom
formation energy = -15 meV per atom
crystal system = tetragonal

---

[2]
The following is a PBE calculation of LiCd4Hg7 after structural relaxation, from Alexandria via LeMat-Bulk.

The structure in POSCAR format:
```
LiCd4Hg7
1.0
5.725 0.000 0.000
-1.100 6.131 0.000
-2.847 -2.089 8.231
Li Cd Hg
1 4 7
direct
0.000 0.000 0.000
0.188 0.915 0.693
0.301 0.387 0.321
0.699 0.613 0.679
0.812 0.085 0.307
0.000 0.500 0.000
0.172 0.386 0.640
0.306 0.892 0.321
0.483 0.254 0.020
0.517 0.746 0.980
0.694 0.108 0.679
0.828 0.614 0.360
```

ΔE to the lowest computed polymorph = 0 meV/atom
magnetization = 0.000 μB/atom
energy = -0.68 eV per atom
formation energy = -38 meV per atom
crystal system = triclinic

---

[3]
The following is a PBE calculation of LiCd6Hg12 after structural relaxation, from Alexandria via LeMat-Bulk.

The structure in POSCAR format:
```
LiCd6Hg12
1.0
5.662 3.269 4.159
-5.662 3.269 4.159
0.000 -6.538 4.159
Li Cd Hg
1 6 12
direct
0.000 0.000 0.000
0.129 0.738 0.277
0.262 0.723 0.871
0.277 0.129 0.738
0.723 0.871 0.262
0.738 0.277 0.129
0.871 0.262 0.723
0.043 0.126 0.359
0.126 0.359 0.043
0.196 0.464 0.544
0.359 0.043 0.126
0.456 0.804 0.536
0.464 0.544 0.196
0.536 0.456 0.804
0.544 0.196 0.464
0.641 0.957 0.874
0.804 0.536 0.456
0.874 0.641 0.957
0.957 0.874 0.641
```

ΔE to the lowest computed polymorph = 9 meV/atom
magnetization = 0.000 μB/atom
energy = -0.59 eV per atom
formation energy = -9 meV per atom
crystal system = trigonal

---

[4]
The following is a PBE calculation of LiCd2Hg after structural relaxation, from Alexandria via LeMat-Bulk.

The structure in POSCAR format:
```
LiCd2Hg
1.0
4.936 -1.629 0.000
4.936 1.629 0.000
-1.230 0.000 5.301
Li Cd Hg
1 2 1
direct
0.000 0.000 0.000
0.255 0.255 0.742
0.498 0.498 0.497
0.737 0.737 0.216
```

magnetization = 0.000 μB/atom
energy = -1.16 eV per atom
formation energy = -150 meV per atom
crystal system = monoclinic

---

[5]
The following is a PBE calculation of Li4CdHg7 after structural relaxation, from Alexandria via LeMat-Bulk.

The structure in POSCAR format:
```
Li4CdHg7
1.0
6.446 -2.645 0.000
6.446 2.645 0.000
-5.748 0.000 8.204
Li Cd Hg
4 1 7
direct
0.073 0.073 0.283
0.209 0.209 0.835
0.791 0.791 0.165
0.927 0.927 0.717
0.500 0.500 0.500
0.000 0.000 0.500
0.148 0.148 0.073
0.289 0.289 0.624
0.423 0.423 0.152
0.577 0.577 0.848
0.711 0.711 0.376
0.852 0.852 0.927
```

magnetization = 0.000 μB/atom
energy = -1.05 eV per atom
formation energy = -158 meV per atom
crystal system = monoclinic

---

[6]
The following is a PBE calculation of LiCd2Hg4 after structural relaxation, from Alexandria via LeMat-Bulk.

The structure in POSCAR format:
```
LiCd2Hg4
1.0
-2.617 2.617 7.241
2.617 -2.617 7.241
2.617 2.617 -7.241
Li Cd Hg
1 2 4
direct
0.000 0.000 0.000
0.384 0.384 0.000
0.616 0.616 0.000
0.000 0.500 0.500
0.185 0.185 0.000
0.500 0.000 0.500
0.815 0.815 0.000
```

ΔE to the lowest computed polymorph = 111 meV/atom
magnetization = 0.000 μB/atom
energy = -0.68 eV per atom
formation energy = 29 meV per atom
crystal system = tetragonal

---

[7]
The following is a PBE calculation of Li4Cd3Hg4 after structural relaxation, from Alexandria via LeMat-Bulk.

The structure in POSCAR format:
```
Li4Cd3Hg4
1.0
-1.653 4.032 8.487
1.653 -4.032 8.487
1.653 4.032 -8.487
Li Cd Hg
4 3 4
direct
0.205 0.000 0.205
0.240 0.240 0.000
0.760 0.760 0.000
0.795 0.000 0.795
0.094 0.594 0.500
0.500 0.500 0.000
0.906 0.406 0.500
0.152 0.842 0.309
0.467 0.158 0.309
0.533 0.842 0.691
0.848 0.158 0.691
```

ΔE to the lowest computed polymorph = 0 meV/atom
magnetization = 0.000 μB/atom
energy = -1.24 eV per atom
formation energy = -182 meV per atom
crystal system = orthorhombic

---

[8]
The following is a PBE calculation of Li12Cd3Hg after structural relaxation, from Alexandria via LeMat-Bulk.

The structure in POSCAR format:
```
Li12Cd3Hg
1.0
4.263 0.000 0.000
0.000 4.263 0.000
0.000 0.000 16.128
Li Cd Hg
12 3 1
direct
0.000 0.000 0.000
0.000 0.000 0.247
0.000 0.000 0.500
0.000 0.000 0.753
0.000 0.500 0.121
0.000 0.500 0.373
0.000 0.500 0.627
0.000 0.500 0.879
0.500 0.000 0.121
0.500 0.000 0.373
0.500 0.000 0.627
0.500 0.000 0.879
0.500 0.500 0.248
0.500 0.500 0.500
0.500 0.500 0.752
0.500 0.500 0.000
```

magnetization = 0.000 μB/atom
energy = -1.82 eV per atom
formation energy = -191 meV per atom
crystal system = tetragonal